# 1
Computed, not measured: a relaxed TaSeBr2 crystal at the PBE level of DFT.

The space group is C2/m (No. 12) and the conventional cell measures 6.114, 9.495 and 3.487 Å, with angles of 90.00, 121.49 and 90.00 degrees. The distinct sites, in fractional coordinates, are Ta at (0.000, 0.000, 0.000), Se at (0.000, 0.500, 0.000) and Br at (0.250, 0.250, 0.500).

The calculation puts the volume at 21.58 Å³/atom. The calculation puts the excess energy over the best structure of this formula in the dataset at 1311 meV per atom. The formation energy (no corrections) is 0.6343 eV/atom. The calculation puts the total energy at -4.036 eV/atom. For the total moment, the calculation gives 0.8 μB per formula unit.

---

# 2
Computed, not measured: a relaxed BaCoSe2 crystal at the PBE level of DFT.

The space group is I-4m2 (No. 119) and the conventional cell measures 4.199, 4.199 and 11.039 Å, with angles of 90.00, 90.00 and 90.00 degrees. The distinct sites, in fractional coordinates, are Ba at (0.000, 0.000, 0.000), Co at (0.000, 0.500, 0.750) and Se at (0.000, 0.000, 0.340).

The calculation puts the volume at 24.33 Å³/atom. The formation energy (no corrections) is -0.9409 eV/atom. The calculation puts the total energy at -4.940 eV/atom. For the total moment, the calculation gives 0.0 μB per formula unit.

---

# 3
Computed, not measured: a relaxed Pr7Dy12Er crystal at the PBE level of DFT.

The space group is R-3 (No. 148, hexagonal axes) and the conventional cell measures 12.0364, 12.0364 and 16.3189 Å, with angles of 90.00, 90.00 and 120.00 degrees. The distinct sites, in fractional coordinates, are Pr at (0.0000, 0.0000, 0.0000), Pr at (0.0566, 0.1865, 0.2878), Dy at (0.0279, 0.4501, 0.2222), Dy at (0.0529, 0.5856, 0.5827) and Er at (0.0000, 0.0000, 0.5000).

The calculation puts the volume at 34.12 Å³/atom. The calculation puts the excess energy over the best structure of this formula in the dataset at 0 meV per atom. The calculation puts the total energy at -4.435 eV/atom. For the total moment, the calculation gives 0.0 μB per formula unit.